Entry from Alexandria: a geometry-optimized ReSb2AsI structure (PBE-GGA).

abc: 5.404 5.404 5.369
angles: 90.00 90.00 90.00
Positions (direct):
Re (0.000, 0.000, 0.000)
Sb (0.000, 0.500, 0.500)
Sb (0.500, 0.000, 0.500)
As (0.500, 0.500, 0.500)
I (0.500, 0.500, 0.000)

* excess energy over the best structure of this formula in the dataset: 16.462 kcal/mol of atoms